Record 1
# Ge2As2Br PBE-GGA optimized geometry
data_Ge2As2Br
_symmetry_space_group_name_H-M 'I 4/m m m'
_symmetry_Int_Tables_number 139
_symmetry_space_group_name_Hall '-I 4 2'
_cell_length_a 4.090
_cell_length_b 4.090
_cell_length_c 14.086
_cell_angle_alpha 90.00
_cell_angle_beta 90.00
_cell_angle_gamma 90.00
loop_
_atom_site_label
_atom_site_type_symbol
_atom_site_fract_x
_atom_site_fract_y
_atom_site_fract_z
Ge1 Ge 0.000 0.000 0.117
As1 As 0.000 0.500 0.250
Br1 Br 0.000 0.000 0.500
# VASP energy (eV per cell): -40.00
# Relative energy among the computed polymorphs (eV per atom): 0.000
# M_tot (μB/cell): 0.00
# Formation energy (no corrections) (meV/atom): 42

=====

Record 2
# GeAs3Br PBE-GGA optimized geometry
data_GeAs3Br
_symmetry_space_group_name_H-M 'P m -3 m'
_symmetry_Int_Tables_number 221
_symmetry_space_group_name_Hall '-P 4 2 3'
_cell_length_a 5.019
_cell_length_b 5.019
_cell_length_c 5.019
_cell_angle_alpha 90.00
_cell_angle_beta 90.00
_cell_angle_gamma 90.00
loop_
_atom_site_label
_atom_site_type_symbol
_atom_site_fract_x
_atom_site_fract_y
_atom_site_fract_z
Ge1 Ge 0.000 0.000 0.000
As1 As 0.000 0.000 0.500
Br1 Br 0.500 0.500 0.500
# VASP energy (eV per cell): -16.31
# Relative energy among the computed polymorphs (eV per atom): 0.000
# M_tot (μB/cell): 0.00
# Formation energy (no corrections) (meV/atom): 786

=====

Record 3
# Ge2AsBr PBE-GGA optimized geometry
data_Ge2AsBr
_symmetry_space_group_name_H-M 'I -4 2 d'
_symmetry_Int_Tables_number 122
_symmetry_space_group_name_Hall 'I -4 2bw'
_cell_length_a 7.311
_cell_length_b 7.311
_cell_length_c 8.152
_cell_angle_alpha 90.00
_cell_angle_beta 90.00
_cell_angle_gamma 90.00
loop_
_atom_site_label
_atom_site_type_symbol
_atom_site_fract_x
_atom_site_fract_y
_atom_site_fract_z
Ge1 Ge 0.208 0.250 0.125
As1 As 0.000 0.000 0.000
Br1 Br 0.000 0.000 0.500
# VASP energy (eV per cell): -59.53
# Relative energy among the computed polymorphs (eV per atom): 0.129
# M_tot (μB/cell): 0.00
# Formation energy (no corrections) (meV/atom): 168

=====

Which value of VASP energy does entry 1 give? -40.00 eV per cell